# CuNiIrS4 (PBE-GGA, relaxed)
data_CuNiIrS4
_chemical_formula_sum 'Cu4 Ni4 Ir4 S16'
_space_group_name_H-M_alt 'I m m a'
_space_group_IT_number 74
_space_group_name_Hall '-I 2b 2'
_cell_length_a 6.8542
_cell_length_b 7.0057
_cell_length_c 9.7225
_cell_angle_alpha 90.00
_cell_angle_beta 90.00
_cell_angle_gamma 90.00
loop_
_atom_site_label
_atom_site_type_symbol
_atom_site_fract_x
_atom_site_fract_y
_atom_site_fract_z
Cu1 Cu 0.0000 0.2500 0.1291
Ni1 Ni 0.2500 0.2500 0.7500
Ir1 Ir 0.0000 0.0000 0.5000
S1 S 0.0000 0.0283 0.7428
S2 S 0.2306 0.2500 0.5125
# Raw total energy = -5.3839 eV per atom

# MgPtBr2 (PBE-GGA, relaxed)
data_MgPtBr2
_chemical_formula_sum 'Mg4 Pt4 Br8'
_space_group_name_H-M_alt 'F -4 3 m'
_space_group_IT_number 216
_space_group_name_Hall 'F -4 2 3'
_cell_length_a 6.9596
_cell_length_b 6.9596
_cell_length_c 6.9596
_cell_angle_alpha 90.00
_cell_angle_beta 90.00
_cell_angle_gamma 90.00
loop_
_atom_site_label
_atom_site_type_symbol
_atom_site_fract_x
_atom_site_fract_y
_atom_site_fract_z
Mg1 Mg 0.0000 0.0000 0.0000
Pt1 Pt 0.2500 0.2500 0.7500
Br1 Br 0.0000 0.0000 0.5000
Br2 Br 0.2500 0.2500 0.2500
# Relative energy among the computed polymorphs = 795 meV/atom

# Zn2Cd2Fe (PBE-GGA, relaxed)
data_Zn2Cd2Fe
_chemical_formula_sum 'Zn4 Cd4 Fe2'
_space_group_name_H-M_alt 'P 4/m b m'
_space_group_IT_number 127
_space_group_name_Hall '-P 4 2ab'
_cell_length_a 6.5055
_cell_length_b 6.5055
_cell_length_c 4.2225
_cell_angle_alpha 90.00
_cell_angle_beta 90.00
_cell_angle_gamma 90.00
loop_
_atom_site_label
_atom_site_type_symbol
_atom_site_fract_x
_atom_site_fract_y
_atom_site_fract_z
Zn1 Zn 0.1373 0.3627 0.0000
Cd1 Cd 0.1775 0.6775 0.5000
Fe1 Fe 0.0000 0.0000 0.0000
# DFT formation energy = 0.3192 eV per atom

Number 1: V 16.7 Å³/atom. Number 2: V 21.1 Å³/atom. Number 3: V 17.9 Å³/atom.